Rb3Er2RhO6: relaxed, PBE-GGA.

Cell: 5.852 5.852 6.758 Å, 98.27 98.27 119.97°
Positions (direct):
Er 0.667 0.333 0.000
Rh 0.000 0.000 0.000
Rb 0.500 0.500 0.500
O 0.620 0.942 0.825
O 0.058 0.380 0.175
O 0.264 0.264 0.826
O 0.736 0.736 0.174
Er 0.333 0.667 0.000
Rb 0.837 0.163 0.500
O 0.380 0.058 0.175
Rb 0.163 0.837 0.500
O 0.942 0.620 0.825

Output
* ρ: 6830 kg/m3
* M_tot: 0.000 μB per cell
* uncorrected energy: -6.18 eV/atom
* formation energy (no corrections): -2.0809 eV per atom